# GGA-PBE SbPdPtO6, optimized geometry
# Volume ... 213.1 Å³/cell
# Symmetry ... P-31c
# Energy relative to the elements, uncorrected ... -0.703 eV/atom
data_SbPdPtO6
_chemical_formula_sum 'Sb2 Pd2 Pt2 O12'
_cell_length_a 5.246
_cell_length_b 5.246
_cell_length_c 8.939
_cell_angle_alpha 90.00
_cell_angle_beta 90.00
_cell_angle_gamma 120.00
_space_group_name_H-M_alt 'P 1'
_space_group_IT_number 1
_space_group_name_Hall 'P 1'
loop_
_atom_site_label
_atom_site_fract_x
_atom_site_fract_y
_atom_site_fract_z
O1 0.650 0.000 0.372
O2 0.000 0.650 0.372
O3 0.000 0.350 0.128
O4 0.350 0.350 0.372
O5 0.650 0.650 0.128
O6 0.650 0.000 0.872
O7 0.000 0.350 0.628
O8 0.000 0.650 0.872
O9 0.350 0.000 0.628
O10 0.350 0.350 0.872
O11 0.650 0.650 0.628
O12 0.350 0.000 0.128
Pd1 0.000 0.000 0.000
Pd2 0.000 0.000 0.500
Pt1 0.667 0.333 0.750
Pt2 0.333 0.667 0.250
Sb1 0.333 0.667 0.750
Sb2 0.667 0.333 0.250

=====

# GGA-PBE PaBeSi2Ni4, optimized geometry
# Volume ... 103.4 Å³/cell
# Symmetry ... R-3m
# Energy relative to the elements, uncorrected ... -0.575 eV/atom
data_PaBeSi2Ni4
_chemical_formula_sum 'Pa1 Be1 Si2 Ni4'
_cell_length_a 3.898
_cell_length_b 3.898
_cell_length_c 8.176
_cell_angle_alpha 76.21
_cell_angle_beta 76.21
_cell_angle_gamma 60.00
_space_group_name_H-M_alt 'P 1'
_space_group_IT_number 1
_space_group_name_Hall 'P 1'
loop_
_atom_site_label
_atom_site_fract_x
_atom_site_fract_y
_atom_site_fract_z
Pa1 0.000 0.000 0.000
Ni1 0.136 0.136 0.591
Ni2 0.594 0.594 0.219
Ni3 0.864 0.864 0.409
Ni4 0.406 0.406 0.781
Si1 0.239 0.239 0.284
Si2 0.761 0.761 0.716
Be1 0.500 0.500 0.500

=====

# GGA-PBE Pr2NdSm6Dy, optimized geometry
# Volume ... 690.1 Å³/cell
# Formation energy from the elements ... 0.115 eV/atom
# Symmetry ... C2/c
data_Pr2NdSm6Dy
_chemical_formula_sum 'Pr4 Nd2 Sm12 Dy2'
_cell_length_a 9.915
_cell_length_b 8.930
_cell_length_c 8.930
_cell_angle_alpha 117.96
_cell_angle_beta 94.54
_cell_angle_gamma 94.54
_space_group_name_H-M_alt 'P 1'
_space_group_IT_number 1
_space_group_name_Hall 'P 1'
loop_
_atom_site_label
_atom_site_fract_x
_atom_site_fract_y
_atom_site_fract_z
Sm1 0.312 0.982 0.427
Sm2 0.880 0.295 0.506
Sm3 0.688 0.018 0.573
Sm4 0.444 0.257 0.879
Sm5 0.120 0.705 0.494
Sm6 0.380 0.506 0.295
Sm7 0.944 0.879 0.257
Sm8 0.556 0.743 0.121
Sm9 0.056 0.121 0.743
Sm10 0.812 0.427 0.982
Sm11 0.188 0.573 0.018
Sm12 0.620 0.494 0.705
Dy1 0.250 0.407 0.593
Dy2 0.750 0.593 0.407
Nd1 0.750 0.017 0.983
Nd2 0.250 0.983 0.017
Pr1 0.542 0.195 0.295
Pr2 0.042 0.295 0.195
Pr3 0.958 0.705 0.805
Pr4 0.458 0.805 0.705

=====

# GGA-PBE Pr2Nd4Dy2Er, optimized geometry
# Volume ... 307.4 Å³/cell
# Formation energy from the elements ... 0.009 eV/atom
# Symmetry ... C2/m
data_Pr2Nd4Dy2Er
_chemical_formula_sum 'Pr2 Nd4 Dy2 Er1'
_cell_length_a 3.678
_cell_length_b 9.679
_cell_length_c 9.753
_cell_angle_alpha 115.10
_cell_angle_beta 90.00
_cell_angle_gamma 100.95
_space_group_name_H-M_alt 'P 1'
_space_group_IT_number 1
_space_group_name_Hall 'P 1'
loop_
_atom_site_label
_atom_site_fract_x
_atom_site_fract_y
_atom_site_fract_z
Nd1 0.814 0.628 0.667
Nd2 0.518 0.036 0.333
Nd3 0.186 0.372 0.333
Nd4 0.482 0.964 0.667
Pr1 0.335 0.670 0.002
Pr2 0.665 0.330 0.998
Dy1 0.852 0.705 0.334
Dy2 0.148 0.295 0.666
Er1 0.000 0.000 0.000

=====

# GGA-PBE Sr2HoGa2O6, optimized geometry
# Volume ... 218.4 Å³/cell
# Symmetry ... P-3
# Energy relative to the elements, uncorrected ... -2.277 eV/atom
data_Sr2HoGa2O6
_chemical_formula_sum 'Sr2 Ho1 Ga2 O6'
_cell_length_a 6.006
_cell_length_b 6.006
_cell_length_c 6.994
_cell_angle_alpha 90.00
_cell_angle_beta 90.00
_cell_angle_gamma 120.00
_space_group_name_H-M_alt 'P 1'
_space_group_IT_number 1
_space_group_name_Hall 'P 1'
loop_
_atom_site_label
_atom_site_fract_x
_atom_site_fract_y
_atom_site_fract_z
Sr1 0.667 0.333 0.169
Sr2 0.333 0.667 0.831
O1 0.354 0.269 0.828
O2 0.646 0.731 0.172
O3 0.086 0.354 0.172
O4 0.914 0.646 0.828
O5 0.731 0.086 0.828
O6 0.269 0.914 0.172
Ga1 0.667 0.333 0.735
Ga2 0.333 0.667 0.265
Ho1 0.000 0.000 0.000

=====

# GGA-PBE Tb2SiAg, optimized geometry
# Volume ... 192.1 Å³/cell
# Symmetry ... P2_1/m
# Energy relative to the elements, uncorrected ... -0.497 eV/atom
data_Tb2SiAg
_chemical_formula_sum 'Tb4 Si2 Ag2'
_cell_length_a 4.341
_cell_length_b 5.997
_cell_length_c 7.880
_cell_angle_alpha 110.55
_cell_angle_beta 90.00
_cell_angle_gamma 90.00
_space_group_name_H-M_alt 'P 1'
_space_group_IT_number 1
_space_group_name_Hall 'P 1'
loop_
_atom_site_label
_atom_site_fract_x
_atom_site_fract_y
_atom_site_fract_z
Si1 0.750 0.666 0.790
Si2 0.250 0.334 0.210
Ag1 0.250 0.352 0.717
Ag2 0.750 0.648 0.283
Tb1 0.750 0.220 0.430
Tb2 0.250 0.780 0.570
Tb3 0.750 0.202 0.925
Tb4 0.250 0.798 0.075